[1]
# HfNbRe2

A relaxed structure of HfNbRe2 (PBE, Alexandria via LeMat-Bulk).

The structure belongs to space group P4/mmm (No. 123); the cell edges are 4.5734, 4.5734 and 3.2445 Å and the angles 90.00°, 90.00° and 90.00°. The asymmetric unit holds Hf at (0.0000, 0.0000, 0.0000), Nb at (0.5000, 0.5000, 0.0000) and Re at (0.0000, 0.5000, 0.5000).

For the total magnetization, the calculation gives 0.0 μB/cell. The calculation puts the density of states at the Fermi level at 2.8 states/eV/cell. As for the formation energy: -319 meV/atom.

=====

[2]
# YSi4Cl

A relaxed structure of YSi4Cl (PBE, Alexandria via LeMat-Bulk).

The structure belongs to space group F-43m (No. 216); the cell edges are 7.4778, 7.4778 and 7.4778 Å and the angles 90.00°, 90.00° and 90.00°. The asymmetric unit holds Y at (0.0000, 0.0000, 0.0000), Si at (0.1217, 0.1217, 0.3783) and Cl at (0.2500, 0.2500, 0.7500).

For the total magnetization, the calculation gives 0.0 μB/cell. The calculation puts the density of states at the Fermi level at 13.0 states/eV/cell. The value obtained for the raw formation energy is -0.19 eV per atom.

=====

[3]
# Ac2Pr2Dy15

A relaxed structure of Ac2Pr2Dy15 (PBE, Alexandria via LeMat-Bulk).

The structure belongs to space group R-3m (No. 166, hexagonal axes); the cell edges are 11.4614, 11.4614 and 17.4230 Å and the angles 90.00°, 90.00° and 120.00°. The asymmetric unit holds Ac at (0.0000, 0.0000, 0.1160), Pr at (0.0000, 0.0000, 0.3388), Dy at (0.0000, 0.3071, 0.0000), Dy at (0.0000, 0.5000, 0.5000) and Dy at (0.0155, 0.5077, 0.1416).

For the total magnetization, the calculation gives 0.0 μB/cell. The calculation puts the density of states at the Fermi level at 109.8 states/eV/cell. As for the formation energy: 273 meV/atom.